Here is Ac6Mg5Sn after structural relaxation from the Alexandria database. Energies are from GGA-PBE.

Unit cell a=9.2252 b=9.2252 c=8.1853 alpha=90.00 beta=90.00 gamma=143.24
Last column: nearest neighbours and their distance in Å.
Positions (direct):
1 Ac 0.0000 0.0000 0.2444  2 Sn 3.53, 6 Mg 3.58-3.63
2 Ac 0.0000 0.0000 0.7556  2 Sn 3.53, 6 Mg 3.58-3.63
3 Ac 0.3353 0.6647 0.2504  7 Mg 3.51-3.60, 1 Sn 3.54
4 Ac 0.3353 0.6647 0.7496  7 Mg 3.51-3.60, 1 Sn 3.54
5 Ac 0.6647 0.3353 0.2504  7 Mg 3.51-3.60, 1 Sn 3.54
6 Ac 0.6647 0.3353 0.7496  7 Mg 3.51-3.60, 1 Sn 3.54
7 Mg 0.1660 0.8340 0.5000  8 Ac 3.55-3.60
8 Mg 0.1729 0.8271 0.0000  8 Ac 3.51-3.63
9 Mg 0.5000 0.5000 0.5000  8 Ac 3.53-3.58
10 Mg 0.8271 0.1729 0.0000  8 Ac 3.51-3.63
11 Mg 0.8340 0.1660 0.5000  8 Ac 3.55-3.60
12 Sn 0.5000 0.5000 0.0000  8 Ac 3.53-3.54

Calculated values
Its total energy is -3.230 eV/atom. As for the space group: Cmmm, No. 65. For the density of states at the Fermi level, the calculation gives 1.161 states/eV/atom. For the formation enthalpy at 0 K, the calculation gives -0.18 eV per atom.



Here is CePmOsI after structural relaxation from the Alexandria database. Energies are from GGA-PBE.

Unit cell a=4.1213 b=4.1213 c=24.2335 alpha=90.00 beta=90.00 gamma=120.00
Last column: nearest neighbours and their distance in Å.
Positions (direct):
1 Ce 0.0000 0.0000 0.0000  3 Os 2.71
2 Ce 0.3333 0.6667 0.6667  3 Os 2.71
3 Ce 0.6667 0.3333 0.3333  3 Os 2.71
4 Pm 0.0000 0.0000 0.7889  3 Os 2.90
5 Pm 0.3333 0.6667 0.4556  3 Os 2.90
6 Pm 0.6667 0.3333 0.1222  3 Os 2.90
7 Os 0.0000 0.0000 0.3869  3 Ce 2.71, 3 Pm 2.90
8 Os 0.3333 0.6667 0.0536  3 Ce 2.71, 3 Pm 2.90
9 Os 0.6667 0.3333 0.7203  3 Ce 2.71, 3 Pm 2.90
10 I 0.0000 0.0000 0.5608  3 Pm 3.49, 3 Ce 3.50
11 I 0.3333 0.6667 0.2275  3 Pm 3.49, 3 Ce 3.50
12 I 0.6667 0.3333 0.8942  3 Pm 3.49, 3 Ce 3.50

Calculated values
Its total energy is -6.461 eV/atom. As for the space group: R3m, No. 160. As for the formation energy (no corrections): -0.5951 eV per atom. For the density of states at the Fermi level, the calculation gives 0.950 states/eV/atom.



Here is BaTaGa2Se after structural relaxation from the Alexandria database. Energies are from GGA-PBE.

Unit cell a=5.1780 b=5.1780 c=5.9361 alpha=90.00 beta=90.00 gamma=90.00
Last column: nearest neighbours and their distance in Å.
Positions (direct):
1 Ba 0.0000 0.0000 0.0000  2 Se 2.97
2 Ta 0.5000 0.5000 0.0000  4 Ba 3.66, 8 Ga 3.94
3 Ga 0.0000 0.5000 0.5000  2 Se 2.59
4 Ga 0.5000 0.0000 0.5000  2 Se 2.59
5 Se 0.0000 0.0000 0.5000  4 Ga 2.59

Calculated values
Its total energy is -3.751 eV/atom. As for the space group: P4/mmm, No. 123. As for the formation energy (no corrections): 0.9113 eV per atom. For the density of states at the Fermi level, the calculation gives 1.273 states/eV/atom.



Here is Si2TcPb after structural relaxation from the Alexandria database. Energies are from GGA-PBE.

Unit cell a=3.3414 b=4.5468 c=4.6590 alpha=90.00 beta=90.00 gamma=90.00
Last column: nearest neighbours and their distance in Å.
Positions (direct):
1 Si 0.0000 0.0000 0.0000  4 Si 2.82, 4 Pb 2.87
2 Si 0.5000 0.5000 0.0000  4 Si 2.82, 4 Tc 2.87
3 Tc 0.0000 0.5000 0.5000  4 Pb 2.82, 4 Si 2.87
4 Pb 0.5000 0.0000 0.5000  4 Tc 2.82, 4 Si 2.87

Calculated values
Its total energy is -5.470 eV/atom. As for the space group: Pmmm, No. 47. As for the formation energy (no corrections): 0.7598 eV per atom. For the density of states at the Fermi level, the calculation gives 0.803 states/eV/atom.